A plane-wave DFT calculation with PBE was carried out for crystalline Ca3Ac6Sm2 at its relaxed geometry.

a b c (Å): 3.900 3.900 35.014
angles (deg): 86.81 86.81 60.00
Sites, in units of the cell vectors:
Ca  0.000  0.000  0.000
Ca  0.728  0.728  0.816
Ca  0.272  0.272  0.184
Ac  0.907  0.907  0.279
Ac  0.093  0.093  0.721
Ac  0.818  0.818  0.547
Ac  0.182  0.182  0.453
Ac  0.636  0.636  0.092
Ac  0.364  0.364  0.908
Sm  0.545  0.545  0.364
Sm  0.455  0.455  0.636

Properties
D(E_F) = 16.2 states/eV/cell
total magnetic moment = 0.000 μB/atom
theoretical density = 6.4 g cm⁻³
raw total energy = -3.61 eV/atom
E_form = 33 meV per atom
space-group type = R-3m, No. 166